The following is a DFT calculation (PBE) of a relaxed structure of RbV.

Energy relative to the lowest polymorph listed for this composition (meV per atom): 1382
Space-group type: Pm-3n (223)
Calculated density (g/cm3): 1.1
E_form (meV per atom): 2211

Structure (POSCAR):
```
RbV
1.0
10.745 0.000 0.000
0.000 10.745 0.000
0.000 0.000 10.745
Rb V
6 6
Direct
0.000 0.250 0.500
0.000 0.750 0.500
0.250 0.500 0.000
0.500 0.000 0.250
0.500 0.000 0.750
0.750 0.500 0.000
0.000 0.500 0.250
0.000 0.500 0.750
0.250 0.000 0.500
0.500 0.250 0.000
0.500 0.750 0.000
0.750 0.000 0.500
```

=====

The following is a DFT calculation (PBE) of a relaxed structure of CoCuPt2.

Space-group type: F-43m (216)
Calculated density (g/cm3): 15.0
E_form (meV per atom): 97

Structure (POSCAR):
```
CoCuPt2
1.0
0.000 3.048 3.048
3.048 0.000 3.048
3.048 3.048 0.000
Co Cu Pt
1 1 2
Direct
0.000 0.000 0.000
0.750 0.750 0.750
0.250 0.250 0.250
0.500 0.500 0.500
```

=====

The following is a DFT calculation (PBE) of a relaxed structure of NbCrSb2I.

Energy relative to the lowest polymorph listed for this composition (meV per atom): 178
Space-group type: P4/mmm (123)
Calculated density (g/cm3): 6.1

Structure (POSCAR):
```
NbCrSb2I
1.0
5.013 0.000 0.000
0.000 5.013 0.000
0.000 0.000 5.561
Nb Cr Sb I
1 1 2 1
Direct
0.000 0.000 0.000
0.500 0.500 0.500
0.000 0.500 0.500
0.500 0.000 0.500
0.500 0.500 0.000
```

=====

The following is a DFT calculation (PBE) of a relaxed structure of NaInHgF6.

Space-group type: P-31c (163)
Final energy (eV per cell): -71.005
Calculated density (g/cm3): 5.3

Structure (POSCAR):
```
NaInHgF6
1.0
5.922 0.000 0.000
-2.961 5.128 0.000
0.000 0.000 9.414
Na In Hg F
2 2 2 12
Direct
0.000 0.000 0.000
0.000 0.000 0.500
0.333 0.667 0.250
0.667 0.333 0.750
0.333 0.667 0.750
0.667 0.333 0.250
0.030 0.363 0.131
0.030 0.667 0.369
0.333 0.363 0.369
0.333 0.970 0.131
0.363 0.030 0.631
0.363 0.333 0.869
0.637 0.667 0.131
0.637 0.970 0.369
0.667 0.030 0.869
0.667 0.637 0.631
0.970 0.333 0.631
0.970 0.637 0.869
```

=====

The following is a DFT calculation (PBE) of a relaxed structure of Sm2ThTl4.

Energy relative to the lowest polymorph listed for this composition (meV per atom): 448
Space-group type: I4/mmm (139)
Calculated density (g/cm3): 7.9
E_form (meV per atom): 305

Structure (POSCAR):
```
Sm2ThTl4
1.0
-2.983 2.983 7.932
2.983 -2.983 7.932
2.983 2.983 -7.932
Sm Th Tl
2 1 4
Direct
0.099 0.099 0.000
0.901 0.901 0.000
0.500 0.500 0.000
0.000 0.500 0.500
0.300 0.300 0.000
0.500 0.000 0.500
0.700 0.700 0.000
```

=====

The following is a DFT calculation (PBE) of a relaxed structure of NaNbSnBr2.

Space-group type: P4/mmm (123)
Final energy (eV per cell): -17.097
Calculated density (g/cm3): 3.9

Structure (POSCAR):
```
NaNbSnBr2
1.0
5.017 0.000 0.000
0.000 5.017 0.000
0.000 0.000 6.589
Na Nb Sn Br
1 1 1 2
Direct
0.000 0.000 0.000
0.000 0.000 0.500
0.500 0.500 0.000
0.000 0.500 0.500
0.500 0.000 0.500
```

=====

The following is a DFT calculation (PBE) of a relaxed structure of KNd2Cl2F5.

Space-group type: P4/mbm (127)
Final energy (eV per cell): -112.530
Calculated density (g/cm3): 4.6

Structure (POSCAR):
```
KNd2Cl2F5
1.0
9.996 0.000 0.000
0.000 9.996 0.000
0.000 0.000 3.600
K Nd Cl F
2 4 4 10
Direct
0.000 0.000 0.000
0.500 0.500 0.000
0.131 0.369 0.000
0.369 0.869 0.000
0.631 0.131 0.000
0.869 0.631 0.000
0.164 0.664 0.000
0.336 0.164 0.000
0.664 0.836 0.000
0.836 0.336 0.000
0.000 0.500 0.500
0.079 0.225 0.500
0.225 0.921 0.500
0.275 0.421 0.500
0.421 0.725 0.500
0.500 0.000 0.500
0.579 0.275 0.500
0.725 0.579 0.500
0.775 0.079 0.500
0.921 0.775 0.500
```

=====

The following is a DFT calculation (PBE) of a relaxed structure of ZnCd2CoH.

Space-group type: P4/mmm (123)
Final energy (eV per cell): -11.416
Calculated density (g/cm3): 8.0

Structure (POSCAR):
```
ZnCd2CoH
1.0
4.618 0.000 0.000
0.000 4.618 0.000
0.000 0.000 3.408
Zn Cd Co H
1 2 1 1
Direct
0.000 0.000 0.000
0.000 0.500 0.500
0.500 0.000 0.500
0.500 0.500 0.000
0.000 0.000 0.500
```

=====

The following is a DFT calculation (PBE) of a relaxed structure of Pu3Tl5Br12.

Space-group type: Ia-3d (230)
Final energy (eV per cell): -380.627
Calculated density (g/cm3): 5.7

Structure (POSCAR):
```
Pu3Tl5Br12
1.0
-9.239 9.239 9.239
9.239 -9.239 9.239
9.239 9.239 -9.239
Pu Tl Br
12 20 48
Direct
0.125 0.250 0.375
0.125 0.375 0.750
0.250 0.375 0.125
0.250 0.875 0.625
0.375 0.125 0.250
0.375 0.750 0.125
0.625 0.250 0.875
0.625 0.875 0.750
0.750 0.125 0.375
0.750 0.625 0.875
0.875 0.625 0.250
0.875 0.750 0.625
0.000 0.000 0.000
0.000 0.000 0.500
0.000 0.500 0.000
0.000 0.500 0.500
0.125 0.750 0.875
0.125 0.875 0.250
0.250 0.125 0.875
0.250 0.625 0.375
0.375 0.250 0.625
0.375 0.625 0.750
0.500 0.000 0.000
0.500 0.000 0.500
0.500 0.500 0.000
0.500 0.500 0.500
0.625 0.375 0.250
0.625 0.750 0.375
0.750 0.375 0.625
0.750 0.875 0.125
0.875 0.125 0.750
0.875 0.250 0.125
0.062 0.630 0.391
0.062 0.932 0.671
0.068 0.239 0.130
0.068 0.329 0.938
0.109 0.739 0.671
0.109 0.870 0.438
0.130 0.068 0.239
0.130 0.562 0.891
0.171 0.239 0.609
0.171 0.432 0.562
0.239 0.130 0.068
0.239 0.609 0.171
0.261 0.329 0.891
0.261 0.432 0.370
0.329 0.891 0.261
0.329 0.938 0.068
0.370 0.261 0.432
0.370 0.609 0.938
0.391 0.062 0.630
0.391 0.829 0.761
0.432 0.370 0.261
0.432 0.562 0.171
0.438 0.109 0.870
0.438 0.829 0.568
0.562 0.171 0.432
0.562 0.891 0.130
0.568 0.438 0.829
0.568 0.630 0.739
0.609 0.171 0.239
0.609 0.938 0.370
0.630 0.391 0.062
0.630 0.739 0.568
0.671 0.062 0.932
0.671 0.109 0.739
0.739 0.568 0.630
0.739 0.671 0.109
0.761 0.391 0.829
0.761 0.870 0.932
0.829 0.568 0.438
0.829 0.761 0.391
0.870 0.438 0.109
0.870 0.932 0.761
0.891 0.130 0.562
0.891 0.261 0.329
0.932 0.671 0.062
0.932 0.761 0.870
0.938 0.068 0.329
0.938 0.370 0.609
```

=====

The following is a DFT calculation (PBE) of a relaxed structure of Bi2Os2I.

Energy relative to the lowest polymorph listed for this composition (meV per atom): 105
Space-group type: P4/mbm (127)
Calculated density (g/cm3): 13.8

Structure (POSCAR):
```
Bi2Os2I
1.0
8.119 0.000 0.000
0.000 8.119 0.000
0.000 0.000 3.373
Bi Os I
4 4 2
Direct
0.150 0.350 0.000
0.350 0.850 0.000
0.650 0.150 0.000
0.850 0.650 0.000
0.136 0.636 0.500
0.364 0.136 0.500
0.636 0.864 0.500
0.864 0.364 0.500
0.000 0.000 0.500
0.500 0.500 0.500
```

=====

The following is a DFT calculation (PBE) of a relaxed structure of TiAuC3.

Energy relative to the lowest polymorph listed for this composition (meV per atom): 589
Space-group type: Pm-3m (221)
Calculated density (g/cm3): 7.0
E_form (meV per atom): 2717

Structure (POSCAR):
```
TiAuC3
1.0
4.057 0.000 0.000
0.000 4.057 0.000
0.000 0.000 4.057
Ti Au C
1 1 3
Direct
0.000 0.000 0.000
0.500 0.500 0.500
0.000 0.500 0.500
0.500 0.000 0.500
0.500 0.500 0.000
```

=====

The following is a DFT calculation (PBE) of a relaxed structure of LiMnCr2.

Energy relative to the lowest polymorph listed for this composition (meV per atom): 162
Space-group type: Pmm2 (25)
Calculated density (g/cm3): 6.0
E_form (meV per atom): 408

Structure (POSCAR):
```
LiMnCr2
1.0
2.271 0.000 0.000
0.000 4.088 0.000
0.000 0.000 4.904
Li Mn Cr
1 1 2
Direct
0.000 0.000 0.000
0.500 0.500 0.243
0.000 0.000 0.495
0.500 0.500 0.757
```

=====

The following is a DFT calculation (PBE) of a relaxed structure of Fe3AsPb.

Energy relative to the lowest polymorph listed for this composition (meV per atom): 840
Space-group type: Pm-3m (221)
Calculated density (g/cm3): 6.4
E_form (meV per atom): 1707

Structure (POSCAR):
```
Fe3AsPb
1.0
4.887 0.000 0.000
0.000 4.887 0.000
0.000 0.000 4.887
Fe As Pb
3 1 1
Direct
0.000 0.000 0.500
0.000 0.500 0.000
0.500 0.000 0.000
0.500 0.500 0.500
0.000 0.000 0.000
```

=====

The following is a DFT calculation (PBE) of a relaxed structure of Fe2CoAu.

Energy relative to the lowest polymorph listed for this composition (meV per atom): 131
Space-group type: Fm-3m (225)
Calculated density (g/cm3): 11.2
E_form (meV per atom): 217

Structure (POSCAR):
```
Fe2CoAu
1.0
0.000 3.006 3.006
3.006 0.000 3.006
3.006 3.006 0.000
Fe Co Au
2 1 1
Direct
0.250 0.250 0.250
0.750 0.750 0.750
0.000 0.000 0.000
0.500 0.500 0.500
```

=====

The following is a DFT calculation (PBE) of a relaxed structure of Sm3GaAg2.

Energy relative to the lowest polymorph listed for this composition (meV per atom): 3
Space-group type: P-3m1 (164)
Calculated density (g/cm3): 8.1
E_form (meV per atom): -376

Structure (POSCAR):
```
Sm3GaAg2
1.0
5.208 0.000 0.000
-2.604 4.510 0.000
0.000 0.000 6.446
Sm Ga Ag
3 1 2
Direct
0.000 0.000 0.000
0.333 0.667 0.665
0.667 0.333 0.335
0.000 0.000 0.500
0.333 0.667 0.175
0.667 0.333 0.825
```

=====

The following is a DFT calculation (PBE) of a relaxed structure of Ce2HoPt3.

Space-group type: C2/c (15)
Calculated density (g/cm3): 11.7
E_form (meV per atom): -1093

Structure (POSCAR):
```
Ce2HoPt3
1.0
6.490 -2.900 0.000
6.490 2.900 0.000
-2.602 0.000 7.800
Ce Ho Pt
4 2 6
Direct
0.166 0.167 0.083
0.167 0.166 0.583
0.833 0.834 0.417
0.834 0.833 0.917
0.499 0.501 0.750
0.501 0.499 0.250
0.001 0.999 0.250
0.333 0.334 0.417
0.334 0.333 0.917
0.666 0.667 0.083
0.667 0.666 0.583
0.999 0.001 0.750
```

=====

The following is a DFT calculation (PBE) of a relaxed structure of KLiPb2.

Energy relative to the lowest polymorph listed for this composition (meV per atom): 274
Space-group type: R3m (160)
Calculated density (g/cm3): 5.7
E_form (meV per atom): 51

Structure (POSCAR):
```
KLiPb2
1.0
1.863 1.075 11.063
-1.863 1.075 11.063
0.000 -2.151 11.063
K Li Pb
1 1 2
Direct
0.000 0.000 0.000
0.237 0.237 0.237
0.504 0.504 0.504
0.759 0.759 0.759
```

=====

The following is a DFT calculation (PBE) of a relaxed structure of ZrMoAs2.

Energy relative to the lowest polymorph listed for this composition (meV per atom): 0
Space-group type: Imm2 (44)
Calculated density (g/cm3): 7.7
E_form (meV per atom): -659

Structure (POSCAR):
```
ZrMoAs2
1.0
-1.698 1.795 5.992
1.698 -1.795 5.992
1.698 1.795 -5.992
Zr Mo As
1 1 2
Direct
0.000 0.000 0.000
0.750 0.250 0.500
0.329 0.829 0.500
0.591 0.591 0.000
```

=====

The following is a DFT calculation (PBE) of a relaxed structure of Rb3Ac2PuSe6.

Space-group type: C2/m (12)
Final energy (eV per cell): -66.299
Calculated density (g/cm3): 5.5

Structure (POSCAR):
```
Rb3Ac2PuSe6
1.0
3.926 -6.798 0.000
3.926 6.798 0.000
-2.623 0.000 8.005
Rb Ac Pu Se
3 2 1 6
Direct
0.000 0.000 0.000
0.332 0.668 0.000
0.668 0.332 0.000
0.167 0.833 0.500
0.833 0.167 0.500
0.500 0.500 0.500
0.113 0.432 0.297
0.248 0.248 0.703
0.432 0.113 0.297
0.568 0.887 0.703
0.752 0.752 0.297
0.887 0.568 0.703
```

=====

The following is a DFT calculation (PBE) of a relaxed structure of RuPb2Cl.

Energy relative to the lowest polymorph listed for this composition (meV per atom): 284
Space-group type: I-42d (122)
Calculated density (g/cm3): 6.7

Structure (POSCAR):
```
RuPb2Cl
1.0
-3.242 3.242 6.508
3.242 -3.242 6.508
3.242 3.242 -6.508
Ru Pb Cl
2 4 2
Direct
0.000 0.000 0.000
0.750 0.250 0.500
0.063 0.625 0.938
0.375 0.313 0.438
0.687 0.125 0.062
0.875 0.937 0.562
0.250 0.750 0.500
0.500 0.500 0.000
```

=====

The following is a DFT calculation (PBE) of a relaxed structure of SrCu2Pt.

Energy relative to the lowest polymorph listed for this composition (meV per atom): 142
Space-group type: I-42d (122)
Calculated density (g/cm3): 7.3
E_form (meV per atom): -231

Structure (POSCAR):
```
SrCu2Pt
1.0
-2.300 2.300 8.849
2.300 -2.300 8.849
2.300 2.300 -8.849
Sr Cu Pt
2 4 2
Direct
0.000 0.000 0.000
0.750 0.250 0.500
0.374 0.625 0.249
0.375 0.624 0.749
0.376 0.125 0.751
0.875 0.626 0.251
0.250 0.750 0.500
0.500 0.500 0.000
```